# 1
DFT (GGA-PBEsol) results for an optimized crystal structure of La2NbAlZn.

Cell and atoms, written as POSCAR:
```
La2NbAlZn
1.0
-1.8299 -2.6798 -3.8910
4.0268 -3.5632 0.5602
-3.0328 -2.8902 3.4168
Nb Al Zn La
1 1 1 2
Cartesian
0.0000 0.0000 0.0000
-0.9150 -1.3399 -1.9455
-0.4180 -4.5666 0.0430
-1.5164 -1.4451 1.7084
2.0134 -1.7816 0.2801
```

## Properties
Energy of formation in meV per atom: 460
Electronic total energy in Ha/atom: -0.1829
N(E_F) in states/eV/atom: 1.04

# 2
DFT (GGA-PBEsol) results for an optimized crystal structure of LaZnSb2Pd.

Cell and atoms, written as POSCAR:
```
LaZnSb2Pd
1.0
4.6590 0.0000 0.0000
0.0000 5.1447 0.0000
0.0000 0.0000 5.1447
Sb Zn Pd La
2 1 1 1
Cartesian
0.0000 0.0000 2.5723
0.0000 2.5723 0.0000
0.0000 0.0000 0.0000
2.3295 0.0000 0.0000
2.3295 2.5723 2.5723
```

## Properties
Uncorrected formation energy in eV per formula unit: -1.325
Electronic total energy in Ha/atom: -0.1714
N(E_F) in states/eV/atom: 0.48

# 3
DFT (GGA-PBEsol) results for an optimized crystal structure of AsOsRuSe2.

Cell and atoms, written as POSCAR:
```
AsOsRuSe2
1.0
4.6215 0.0000 0.0000
0.0000 4.7764 0.0000
0.0000 0.0000 4.7764
Ru As Os Se
1 1 1 2
Cartesian
2.3108 2.3882 2.3882
2.3108 0.0000 0.0000
0.0000 0.0000 0.0000
0.0000 0.0000 2.3882
0.0000 2.3882 0.0000
```

## Properties
Uncorrected formation energy in eV per formula unit: 6.833
Electronic total energy in Ha/atom: -0.2085
N(E_F) in states/eV/atom: 1.07

# 4
DFT (GGA-PBEsol) results for an optimized crystal structure of ZnTeMo2.

Cell and atoms, written as POSCAR:
```
ZnTeMo2
1.0
-2.5194 1.0973 1.4690
-2.5113 -3.4552 -1.7262
2.1481 -3.2174 3.3148
Mo Te Zn
2 1 1
Cartesian
0.0258 -0.1397 0.2422
-2.6033 -1.5814 0.8048
-0.7147 -0.8213 2.6837
0.2238 -4.0929 1.7188
```

## Properties
Uncorrected formation energy in eV per formula unit: 1.736
Electronic total energy in Ha/atom: -0.2472
N(E_F) in states/eV/atom: 0.58

# 5
DFT (GGA-PBEsol) results for an optimized crystal structure of YSi3.

Cell and atoms, written as POSCAR:
```
YSi3
1.0
7.1530 0.0000 0.0000
-3.5765 6.4321 0.0071
0.0000 3.9707 5.9497
Si Y
12 4
Cartesian
4.8152 0.0000 0.0000
2.3378 0.0000 0.0000
0.0000 2.6730 4.0052
0.0000 1.2977 1.9445
1.3258 8.1465 4.7567
-1.3258 6.6746 2.5512
-1.3258 8.1465 4.7567
1.3258 6.6746 2.5512
2.2507 3.7282 3.4056
4.9023 2.2563 1.2001
4.9023 3.7282 3.4056
2.2507 2.2563 1.2001
3.5765 4.9217 1.0151
0.0000 5.4811 4.9417
0.0000 4.2087 1.4910
3.5765 6.1941 4.4658
```

## Properties
Uncorrected formation energy in eV per formula unit: -1.845
Electronic total energy in Ha/atom: -0.2380
N(E_F) in states/eV/atom: 0.38

# 6
DFT (GGA-PBEsol) results for an optimized crystal structure of NiPt2Rh.

Cell and atoms, written as POSCAR:
```
NiPt2Rh
1.0
-0.7839 3.1551 1.9512
-3.5110 -1.2748 0.6509
3.3395 -2.6046 1.8694
Ni Rh Pt
1 1 2
Cartesian
-1.1595 -1.4697 1.9106
-2.1475 0.9401 1.3010
0.0000 0.0000 0.0000
0.2041 0.7453 2.5608
```

## Properties
Energy of formation in meV per atom: -29
Electronic total energy in Ha/atom: -0.2604
N(E_F) in states/eV/atom: 1.72

# 7
DFT (GGA-PBEsol) results for an optimized crystal structure of Zr.

Cell and atoms, written as POSCAR:
```
Zr
1.0
-1.6917 0.7071 2.5060
3.2689 -2.3892 2.8808
0.6036 4.8385 -0.9577
Zr
3
Cartesian
0.6462 2.7828 1.5748
1.5346 0.3735 2.8543
0.0000 0.0000 0.0000
```

## Properties
Energy of formation in meV per atom: 0
Electronic total energy in Ha/atom: -0.3340
N(E_F) in states/eV/atom: 0.79

# 8
DFT (GGA-PBEsol) results for an optimized crystal structure of Cs2LiCuAg.

Cell and atoms, written as POSCAR:
```
Cs2LiCuAg
1.0
4.8035 0.0000 0.0000
0.0000 6.6077 0.0000
0.0000 0.0000 6.6077
Cs Cu Ag Li
2 1 1 1
Cartesian
0.0000 0.0000 3.3039
0.0000 3.3039 0.0000
2.4017 3.3039 3.3039
2.4017 0.0000 0.0000
0.0000 0.0000 0.0000
```

## Properties
Energy of formation in meV per atom: 535
Electronic total energy in Ha/atom: -0.0648
N(E_F) in states/eV/atom: 0.46

# 9
DFT (GGA-PBEsol) results for an optimized crystal structure of CeSb2Pd2.

Cell and atoms, written as POSCAR:
```
CeSb2Pd2
1.0
-2.8381 1.2436 3.4205
-3.5154 -2.0600 -2.1678
2.0912 -8.7377 4.9119
Ce Sb Pd
2 4 4
Cartesian
-1.2504 -3.1498 0.1077
0.1649 -5.9962 5.4305
1.0456 -4.3689 2.4559
-2.1311 -4.7771 3.0823
0.0669 -8.6536 3.2016
-1.1524 -0.4923 2.3366
0.0000 0.0000 0.0000
-3.1767 -0.4082 0.6263
-0.4525 -6.4834 1.9817
-0.6330 -2.6625 3.5565
```

## Properties
Uncorrected formation energy in eV per formula unit: -3.824
Electronic total energy in Ha/atom: -0.2312
N(E_F) in states/eV/atom: 1.56

# 10
DFT (GGA-PBEsol) results for an optimized crystal structure of Dy3S3N.

Cell and atoms, written as POSCAR:
```
Dy3S3N
1.0
-3.2535 1.6450 1.0234
-5.8586 -9.8130 -2.8512
1.5162 -4.3261 11.7738
Dy S N
12 12 4
Cartesian
-6.8344 -7.0833 0.1669
-2.8267 -8.9281 8.8676
-4.0263 -9.3599 5.7481
-0.2586 -2.9909 7.4882
-3.4755 -6.4956 2.8949
-3.5696 -3.1342 4.1980
-0.8692 -0.6674 1.8121
-4.7692 -3.5660 1.0784
-0.7615 -5.4108 9.7792
-6.7266 -11.8267 8.1340
-4.1204 -5.9985 7.0512
-7.3373 -9.5032 2.4579
-5.8737 -8.1163 -2.1239
-2.2091 -5.3078 5.0116
-6.8420 -10.2686 5.2628
-4.8855 -8.5243 1.6735
-4.1337 -5.8466 -0.2405
-5.4637 -9.3784 8.2135
-0.7539 -2.2255 4.6832
-3.4622 -6.6475 10.1866
-2.7104 -3.9698 8.2726
-5.3868 -7.1863 4.9345
-1.7222 -4.3778 12.0699
-2.1322 -3.1157 1.7326
-7.7799 -9.0924 0.3905
-2.8929 -7.8869 6.9835
-4.7030 -4.6072 2.9626
0.1840 -3.4017 9.5556
```

## Properties
Uncorrected formation energy in eV per formula unit: -14.485
Electronic total energy in Ha/atom: -0.2683

# 11
DFT (GGA-PBEsol) results for an optimized crystal structure of MgCdTe.

Cell and atoms, written as POSCAR:
```
MgCdTe
1.0
5.0320 0.0000 0.0000
2.5160 4.3578 0.0000
2.5160 1.4526 4.1086
Cd Mg Te
1 1 1
Cartesian
0.0000 0.0000 0.0000
5.0320 2.9052 2.0543
7.5480 4.3578 3.0814
```

## Properties
Uncorrected formation energy in eV per formula unit: -0.114
Electronic total energy in Ha/atom: -0.0803
N(E_F) in states/eV/atom: 0.41

# 12
DFT (GGA-PBEsol) results for an optimized crystal structure of ZrTi2Ga4.

Cell and atoms, written as POSCAR:
```
ZrTi2Ga4
1.0
5.3160 -0.0065 0.0000
-2.5923 4.6412 0.0000
-1.3619 -2.3173 4.5864
Ga Zr Ti
4 1 2
Cartesian
2.9115 1.4066 0.0000
-0.1878 3.2280 0.0000
0.0000 0.0000 2.7890
1.3619 2.3173 1.7974
0.0000 0.0000 0.0000
2.6580 -0.0033 2.2932
-1.2961 2.3206 2.2932
```

## Properties
Energy of formation in meV per atom: -580
Electronic total energy in Ha/atom: -0.2265
N(E_F) in states/eV/atom: 0.74